[1]
VASP calculation (PBE) on crystalline Nd2Dy5Er6 at its relaxed geometry.

Computed properties:
**Calculated formation energy**: 0.100 eV/atom
**Symmetry**: No. 55
**Crystal system**: orthorhombic

abc: 11.6406 20.1486 3.5642
angles: 90.00 90.00 90.00
Fractional coordinates of all 26 atoms:
Nd: 0.1678 0.2158 0.0000
Nd: 0.3322 0.7158 0.0000
Nd: 0.6678 0.2842 0.0000
Nd: 0.8322 0.7842 0.0000
Dy: 0.0000 0.5000 0.5000
Dy: 0.0921 0.7778 0.5000
Dy: 0.1998 0.0510 0.5000
Dy: 0.3002 0.5510 0.5000
Dy: 0.4079 0.2778 0.5000
Dy: 0.5000 0.0000 0.5000
Dy: 0.5921 0.7222 0.5000
Dy: 0.6998 0.4490 0.5000
Dy: 0.8002 0.9490 0.5000
Dy: 0.9079 0.2222 0.5000
Er: 0.0594 0.9221 0.0000
Er: 0.0788 0.6340 0.0000
Er: 0.1788 0.3727 0.5000
Er: 0.3212 0.8727 0.5000
Er: 0.4212 0.1340 0.0000
Er: 0.4406 0.4221 0.0000
Er: 0.5594 0.5779 0.0000
Er: 0.5788 0.8660 0.0000
Er: 0.6788 0.1273 0.5000
Er: 0.8212 0.6273 0.5000
Er: 0.9212 0.3660 0.0000
Er: 0.9406 0.0779 0.0000

***

[2]
VASP calculation (PBE) on crystalline Ac4InGeO at its relaxed geometry.

Computed properties:
**Symmetry**: No. 63
**Crystal system**: orthorhombic
**ΔE_f (raw)**: -7.40 eV/f.u.

abc: 9.6937 9.6937 7.1469
angles: 90.00 90.00 137.25
Fractional coordinates of all 14 atoms:
Ac: 0.0000 0.5000 0.0000
Ac: 0.0000 0.5000 0.5000
Ac: 0.0587 0.9413 0.7500
Ac: 0.4248 0.5752 0.7500
Ac: 0.5000 0.0000 0.0000
Ac: 0.5000 0.0000 0.5000
Ac: 0.5752 0.4248 0.2500
Ac: 0.9413 0.0587 0.2500
In: 0.3870 0.6130 0.2500
In: 0.6130 0.3870 0.7500
Ge: 0.1196 0.8804 0.2500
Ge: 0.8804 0.1196 0.7500
O: 0.2871 0.7129 0.7500
O: 0.7129 0.2871 0.2500

***

[3]
VASP calculation (PBE) on crystalline Th2P4Ir3Pd at its relaxed geometry.

Computed properties:
**Calculated formation energy**: -1.043 eV/atom
**Symmetry**: No. 115
**Crystal system**: tetragonal

abc: 4.2722 4.2722 9.4473
angles: 90.00 90.00 90.00
Fractional coordinates of all 10 atoms:
Th: 0.0000 0.5000 0.2460
Th: 0.5000 0.0000 0.7540
P: 0.0000 0.0000 0.0000
P: 0.0000 0.5000 0.6375
P: 0.5000 0.0000 0.3625
P: 0.5000 0.5000 0.0000
Ir: 0.0000 0.5000 0.8902
Ir: 0.5000 0.0000 0.1098
Ir: 0.5000 0.5000 0.5000
Pd: 0.0000 0.0000 0.5000

***

[4]
VASP calculation (PBE) on crystalline Rb3SbTe at its relaxed geometry.

Computed properties:
**Symmetry**: No. 12
**Crystal system**: monoclinic
**ΔE_f (raw)**: -3.21 eV/f.u.

abc: 9.7928 9.7928 10.9156
angles: 99.72 99.72 28.39
Fractional coordinates of all 10 atoms:
Rb: 0.0551 0.0551 0.1461
Rb: 0.2364 0.2364 0.8367
Rb: 0.3988 0.3988 0.4063
Rb: 0.6012 0.6012 0.5937
Rb: 0.7636 0.7636 0.1633
Rb: 0.9449 0.9449 0.8539
Sb: 0.2107 0.2107 0.4424
Sb: 0.7893 0.7893 0.5576
Te: 0.3962 0.3962 0.0898
Te: 0.6038 0.6038 0.9102

***

[5]
VASP calculation (PBE) on crystalline MgTe at its relaxed geometry.

Computed properties:
**Symmetry**: No. 194
**Crystal system**: hexagonal
**ΔE_f (raw)**: -1.18 eV/f.u.

abc: 4.1506 4.1506 7.5017
angles: 90.00 90.00 120.00
Fractional coordinates of all 4 atoms:
Mg: 0.3333 0.6667 0.2500
Mg: 0.6667 0.3333 0.7500
Te: 0.0000 0.0000 0.0000
Te: 0.0000 0.0000 0.5000

***

[6]
VASP calculation (PBE) on crystalline CsNa2InBr6 at its relaxed geometry.

Computed properties:
**Symmetry**: No. 146
**Crystal system**: trigonal
**ΔE_f (raw)**: -12.92 eV/f.u.

abc: 8.2926 8.2926 8.2926
angles: 54.87 54.87 54.87
Fractional coordinates of all 10 atoms:
Cs: 0.0000 0.0000 0.0000
Na: 0.2726 0.2726 0.2726
Na: 0.7954 0.7954 0.7954
In: 0.4630 0.4630 0.4630
Br: 0.0676 0.5994 0.4737
Br: 0.2374 0.5243 0.8399
Br: 0.4737 0.0676 0.5994
Br: 0.5243 0.8399 0.2374
Br: 0.5994 0.4737 0.0676
Br: 0.8399 0.2374 0.5243

***

[7]
VASP calculation (PBE) on crystalline PrNd3As3 at its relaxed geometry.

Computed properties:
**Calculated formation energy**: -1.268 eV/atom
**Symmetry**: No. 198
**Crystal system**: cubic

abc: 9.0658 9.0658 9.0658
angles: 90.00 90.00 90.00
Fractional coordinates of all 28 atoms:
Pr: 0.0661 0.4339 0.5661
Pr: 0.4339 0.5661 0.0661
Pr: 0.5661 0.0661 0.4339
Pr: 0.9339 0.9339 0.9339
Nd: 0.0663 0.5663 0.9337
Nd: 0.1842 0.1842 0.1842
Nd: 0.1840 0.8160 0.3160
Nd: 0.3160 0.1840 0.8160
Nd: 0.3158 0.8158 0.6842
Nd: 0.4337 0.4337 0.4337
Nd: 0.5663 0.9337 0.0663
Nd: 0.6842 0.3158 0.8158
Nd: 0.6840 0.6840 0.6840
Nd: 0.8160 0.3160 0.1840
Nd: 0.8158 0.6842 0.3158
Nd: 0.9337 0.0663 0.5663
As: 0.0002 0.2511 0.8757
As: 0.9998 0.7511 0.6243
As: 0.1243 0.5002 0.2489
As: 0.2489 0.1243 0.5002
As: 0.2511 0.8757 0.0002
As: 0.3757 0.4998 0.7489
As: 0.5002 0.2489 0.1243
As: 0.4998 0.7489 0.3757
As: 0.6243 0.9998 0.7511
As: 0.7489 0.3757 0.4998
As: 0.7511 0.6243 0.9998
As: 0.8757 0.0002 0.2511

***

[8]
VASP calculation (PBE) on crystalline Ce4TmPa3N8 at its relaxed geometry.

Computed properties:
**Symmetry**: No. 166
**Crystal system**: trigonal
**ΔE_f (raw)**: -26.01 eV/f.u.

abc: 7.0650 7.0650 7.0650
angles: 59.72 59.72 59.72
Fractional coordinates of all 16 atoms:
Ce: 0.0000 0.0000 0.0000
Ce: 0.0000 0.5000 0.5000
Ce: 0.5000 0.0000 0.5000
Ce: 0.5000 0.5000 0.0000
Tm: 0.5000 0.5000 0.5000
Pa: 0.0000 0.0000 0.5000
Pa: 0.0000 0.5000 0.0000
Pa: 0.5000 0.0000 0.0000
N: 0.2386 0.7432 0.7432
N: 0.2420 0.2420 0.2420
N: 0.2568 0.2568 0.7614
N: 0.2568 0.7614 0.2568
N: 0.7432 0.2386 0.7432
N: 0.7432 0.7432 0.2386
N: 0.7580 0.7580 0.7580
N: 0.7614 0.2568 0.2568

***

[9]
VASP calculation (PBE) on crystalline YSc2CdCo at its relaxed geometry.

Computed properties:
**Calculated formation energy**: -0.103 eV/atom
**Symmetry**: No. 123
**Crystal system**: tetragonal

abc: 4.8476 4.8476 5.1968
angles: 90.00 90.00 90.00
Fractional coordinates of all 5 atoms:
Y: 0.0000 0.0000 0.0000
Sc: 0.0000 0.5000 0.5000
Sc: 0.5000 0.0000 0.5000
Cd: 0.5000 0.5000 0.0000
Co: 0.0000 0.0000 0.5000

***

[10]
VASP calculation (PBE) on crystalline NdDyMg6 at its relaxed geometry.

Computed properties:
**Calculated formation energy**: -0.082 eV/atom
**Symmetry**: No. 38
**Crystal system**: orthorhombic

abc: 5.2109 6.7502 11.6774
angles: 90.00 90.00 90.00
Fractional coordinates of all 16 atoms:
Nd: 0.0000 0.0000 0.0000
Nd: 0.0000 0.5000 0.5000
Dy: 0.5000 0.0000 0.6675
Dy: 0.5000 0.5000 0.1675
Mg: 0.0000 0.0000 0.4980
Mg: 0.0000 0.2458 0.2514
Mg: 0.0000 0.2542 0.7514
Mg: 0.0000 0.5000 0.9980
Mg: 0.0000 0.7458 0.7514
Mg: 0.0000 0.7542 0.2514
Mg: 0.5000 0.0000 0.1721
Mg: 0.5000 0.2418 0.4148
Mg: 0.5000 0.2582 0.9148
Mg: 0.5000 0.5000 0.6721
Mg: 0.5000 0.7418 0.9148
Mg: 0.5000 0.7582 0.4148

***

[11]
VASP calculation (PBE) on crystalline BaYBr2 at its relaxed geometry.

Computed properties:
**Symmetry**: No. 166
**Crystal system**: trigonal
**ΔE_f (raw)**: -4.63 eV/f.u.

abc: 4.0701 4.0701 31.0879
angles: 90.00 90.00 120.00
Fractional coordinates of all 12 atoms:
Ba: 0.0000 0.0000 0.0000
Ba: 0.3333 0.6667 0.6667
Ba: 0.6667 0.3333 0.3333
Y: 0.0000 0.0000 0.5000
Y: 0.3333 0.6667 0.1667
Y: 0.6667 0.3333 0.8333
Br: 0.0000 0.0000 0.4093
Br: 0.0000 0.0000 0.5907
Br: 0.3333 0.6667 0.0760
Br: 0.3333 0.6667 0.2573
Br: 0.6667 0.3333 0.7427
Br: 0.6667 0.3333 0.9240

***

[12]
VASP calculation (PBE) on crystalline RbCaTa at its relaxed geometry.

Computed properties:
**Calculated formation energy**: 0.693 eV/atom
**Symmetry**: No. 2
**Crystal system**: triclinic

abc: 3.4795 5.9778 12.6808
angles: 80.34 87.03 73.33
Fractional coordinates of all 6 atoms:
Rb: 0.2224 0.1964 0.1477
Rb: 0.7776 0.8036 0.8523
Ca: 0.0388 0.3682 0.6331
Ca: 0.9612 0.6318 0.3669
Ta: 0.3111 0.8585 0.5530
Ta: 0.6889 0.1415 0.4470

***

no.,density of states at the Fermi level (states/eV per atom),magnetization (μB per atom),calculated total energy (eV for the cell shown)
1,1.297,0.000,-117.23
2,0.642,0.000,-72.30
3,0.433,0.000,-78.69
4,0.452,0.000,-26.74
5,0.367,0.000,-11.84
6,0.000,0.000,-29.18
7,0.987,0.000,-167.63
8,0.953,0.000,-149.30
9,1.248,0.000,-27.67
10,1.047,0.000,-39.18
11,0.324,0.212,-49.08
12,0.983,0.000,-25.48